VASP calculation (GGA-PBE) on a relaxed KFeSe2N crystal.

Cell: 5.752 5.752 4.737 Å, 90.00 90.00 90.00°
Site moments in Bohr magnetons follow the coordinates.
Fractional coordinates of all 5 atoms:
K1 0.000 0.000 0.000  0.08
Fe1 0.500 0.500 0.500  3.43
Se1 0.000 0.500 0.000  0.50
Se2 0.500 0.000 0.000  0.50
N1 0.000 0.000 0.500  1.75

formation energy (no corrections)	1923	meV/atom
E	-3.0477	eV/atom
space-group type	P4/mmm
offset from the most stable computed form	1925.2	meV per atom

VASP calculation (GGA-PBE) on a relaxed KFeSe2N crystal.

Cell: 5.334 5.334 3.432 Å, 90.00 90.00 90.00°
Site moments in Bohr magnetons follow the coordinates.
Fractional coordinates of all 5 atoms:
K1 0.500 0.500 0.500  0.01
Fe1 0.000 0.000 0.000  1.16
Se1 0.000 0.500 0.000  0.02
Se2 0.500 0.000 0.000  0.02
N1 0.000 0.000 0.500  -0.16

formation energy (no corrections)	-2	meV/atom
E	-4.9730	eV/atom
space-group type	P4/mmm
offset from the most stable computed form	0.0	meV per atom

One value per record, in order, for spin magnetization: 7.9, 1.1 μB/f.u..